No. 1
4
Lattice="2.973 -1.355 3.861 -2.044 -1.175 4.474 0.025 -4.794 1.611" Properties=species:S:1:pos:R:3 comment="LaCoBr2 | Alexandria via LeMat-Bulk | GGA-PBE | relaxed" vol_a3_per_atom=22.9 relative_energy_kj_per_mol_fu=201 sg="Fm-3m (225)" magnetic_moment_mub_per_fu=2.00 raw_formation_energy_ev_per_atom=-0.3854 dos_ef_per_ev_cell=10.3 pbc="T T T"
Co 0.000 0.000 0.000
Br 0.238 -1.831 2.487
Br 0.715 -5.493 7.460
La 0.477 -3.662 4.973

No. 2
18
Lattice="5.843 3.367 0.196 -5.843 3.367 0.196 0.000 1.135 18.894" Properties=species:S:1:pos:R:3 comment="Ac12TbSm5 | Alexandria via LeMat-Bulk | GGA-PBE | relaxed" vol_a3_per_atom=41.2 sg="C2/m (12)" magnetic_moment_mub_per_fu=0.00 e_tot_ev_per_cell=-76.861 dos_ef_per_ev_cell=26.5 pbc="T T T"
Ac 0.000 1.512 12.552
Ac 0.000 6.356 6.734
Ac 0.000 2.064 3.163
Ac 0.000 5.805 16.123
Ac -1.943 5.439 3.359
Ac -1.943 2.430 15.927
Ac 1.943 5.439 3.359
Ac 1.943 2.430 15.927
Ac 1.948 2.989 6.539
Ac -1.948 2.989 6.539
Ac 1.948 4.880 12.747
Ac -1.948 4.880 12.747
Tb 0.000 0.000 0.000
Sm 0.000 3.934 9.643
Sm 3.895 3.934 9.643
Sm -3.895 3.934 9.643
Sm -1.947 3.367 0.196
Sm 1.947 3.367 0.196

No. 3
10
Lattice="-6.270 2.896 5.710 -6.370 -2.024 -5.968 -0.259 -3.336 1.407" Properties=species:S:1:pos:R:3 comment="CsNa2Ge2 | Alexandria via LeMat-Bulk | GGA-PBE | relaxed" vol_a3_per_atom=29.1 relative_energy_kj_per_mol_fu=78 sg="P4/mbm (127)" magnetic_moment_mub_per_fu=0.00 dos_ef_per_ev_cell=4.2 pbc="T T T"
Cs 0.000 0.000 0.000
Cs -6.320 0.436 -0.129
Na -7.333 -0.726 -3.069
Na -9.472 1.038 0.718
Na -5.307 1.598 2.810
Na -3.168 -0.166 -0.977
Ge -4.600 -2.591 -2.307
Ge -9.624 -1.744 -1.222
Ge -8.298 0.127 3.456
Ge -3.275 -0.721 2.371

No. 4
4
Lattice="-2.923 1.351 -1.085 -1.821 -1.586 -2.390 -7.016 -5.579 6.632" Properties=species:S:1:pos:R:3 comment="LiY2Hf | Alexandria via LeMat-Bulk | GGA-PBE | relaxed" vol_a3_per_atom=27.4 relative_energy_kj_per_mol_fu=16 sg="R3m (160)" magnetic_moment_mub_per_fu=0.00 dos_ef_per_ev_cell=5.4 pbc="T T T"
Li -3.165 -0.160 -2.313
Y -5.590 -4.136 4.588
Y -3.006 -1.520 0.884
Hf -5.879 -2.906 1.577